# 1
Here is a relaxed structure of Pm2Sc4N from Alexandria. Energies are from PBE.

Lattice parameters (Å, degrees): 9.540 9.540 9.540 153.22 153.22 38.23
Atoms (fractional coordinates):
Pm 0.183 0.183 0.000
Pm 0.817 0.817 0.000
Sc 0.000 0.500 0.500
Sc 0.379 0.379 0.000
Sc 0.500 0.000 0.500
Sc 0.621 0.621 0.000
N 0.500 0.500 0.000

Summary:
Its total energy is -0.479 Ry per atom. For the total moment, the calculation gives 0.0 μB per formula unit.



# 2
Here is a relaxed structure of PmSc2N from Alexandria. Energies are from PBE.

Lattice parameters (Å, degrees): 8.830 8.830 8.830 21.48 21.48 21.48
Atoms (fractional coordinates):
Pm 0.000 0.000 0.000
Sc 0.214 0.214 0.214
Sc 0.786 0.786 0.786
N 0.500 0.500 0.500

Summary:
Its total energy is -0.537 Ry per atom. For the total moment, the calculation gives 0.0 μB per formula unit.



# 3
Here is a relaxed structure of PmScN from Alexandria. Energies are from PBE.

Lattice parameters (Å, degrees): 12.326 12.326 12.326 15.69 15.69 15.69
Atoms (fractional coordinates):
Pm 0.216 0.216 0.216
Pm 0.784 0.784 0.784
Sc 0.045 0.045 0.045
Sc 0.955 0.955 0.955
N 0.406 0.406 0.406
N 0.594 0.594 0.594

Summary:
Its total energy is -0.550 Ry per atom. For the total moment, the calculation gives 0.0 μB per formula unit.